# PBE SrCa2Ga2, optimized geometry
data_SrCa2Ga2
_chemical_formula_sum 'Sr2 Ca4 Ga4'
_cell_length_a 9.001
_cell_length_b 9.001
_cell_length_c 3.520
_cell_angle_alpha 90.00
_cell_angle_beta 90.00
_cell_angle_gamma 90.00
_symmetry_space_group_name_H-M 'P 1'
_symmetry_Int_Tables_number 1
loop_
_symmetry_equiv_pos_as_xyz
'x,y,z'
loop_
_atom_site_label
_atom_site_fract_x
_atom_site_fract_y
_atom_site_fract_z
Sr1 0.000 0.000 0.000
Sr2 0.500 0.500 0.000
Ca1 0.130 0.370 0.000
Ca2 0.370 0.870 0.000
Ca3 0.630 0.130 0.000
Ca4 0.870 0.630 0.000
Ga1 0.168 0.668 0.500
Ga2 0.332 0.168 0.500
Ga3 0.668 0.832 0.500
Ga4 0.832 0.332 0.500
# ΔH_f (0 K)	-28	kJ per mole of atoms
# energy relative to the lowest polymorph listed for this composition	37	meV/atom
# energy	-2.642	eV per atom


# PBE Cs2Ti3Br9, optimized geometry
data_Cs2Ti3Br9
_chemical_formula_sum 'Cs4 Ti6 Br18'
_cell_length_a 10.944
_cell_length_b 10.944
_cell_length_c 10.748
_cell_angle_alpha 103.76
_cell_angle_beta 103.76
_cell_angle_gamma 116.33
_symmetry_space_group_name_H-M 'P 1'
_symmetry_Int_Tables_number 1
loop_
_symmetry_equiv_pos_as_xyz
'x,y,z'
loop_
_atom_site_label
_atom_site_fract_x
_atom_site_fract_y
_atom_site_fract_z
Cs1 0.060 0.741 0.691
Cs2 0.259 0.940 0.309
Cs3 0.741 0.060 0.691
Cs4 0.940 0.259 0.309
Ti1 0.281 0.449 0.846
Ti2 0.394 0.394 0.140
Ti3 0.449 0.281 0.846
Ti4 0.551 0.719 0.154
Ti5 0.606 0.606 0.860
Ti6 0.719 0.551 0.154
Br1 0.016 0.394 0.681
Br2 0.135 0.325 0.982
Br3 0.194 0.194 0.673
Br4 0.254 0.254 0.280
Br5 0.310 0.690 0.000
Br6 0.325 0.135 0.982
Br7 0.378 0.575 0.691
Br8 0.394 0.016 0.681
Br9 0.425 0.622 0.309
Br10 0.575 0.378 0.691
Br11 0.606 0.984 0.319
Br12 0.622 0.425 0.309
Br13 0.675 0.865 0.018
Br14 0.690 0.310 0.000
Br15 0.746 0.746 0.720
Br16 0.806 0.806 0.327
Br17 0.865 0.675 0.018
Br18 0.984 0.606 0.319
# E_form (uncorrected)	-18.3	eV/f.u.
# energy	-4.199	eV per atom


# PBE Na2SrMoRh, optimized geometry
data_Na2SrMoRh
_chemical_formula_sum 'Na2 Sr1 Mo1 Rh1'
_cell_length_a 5.578
_cell_length_b 5.578
_cell_length_c 4.692
_cell_angle_alpha 90.00
_cell_angle_beta 90.00
_cell_angle_gamma 90.00
_symmetry_space_group_name_H-M 'P 1'
_symmetry_Int_Tables_number 1
loop_
_symmetry_equiv_pos_as_xyz
'x,y,z'
loop_
_atom_site_label
_atom_site_fract_x
_atom_site_fract_y
_atom_site_fract_z
Na1 0.000 0.500 0.000
Na2 0.500 0.000 0.000
Sr1 0.000 0.000 0.500
Mo1 0.500 0.500 0.000
Rh1 0.500 0.500 0.500
# ΔH_f (0 K)	77	kJ per mole of atoms
# energy relative to the lowest polymorph listed for this composition	0	meV/atom
# energy	-3.705	eV per atom


# PBE LaSmCo4, optimized geometry
data_LaSmCo4
_chemical_formula_sum 'La1 Sm1 Co4'
_cell_length_a 5.138
_cell_length_b 5.138
_cell_length_c 5.138
_cell_angle_alpha 60.00
_cell_angle_beta 60.00
_cell_angle_gamma 60.00
_symmetry_space_group_name_H-M 'P 1'
_symmetry_Int_Tables_number 1
loop_
_symmetry_equiv_pos_as_xyz
'x,y,z'
loop_
_atom_site_label
_atom_site_fract_x
_atom_site_fract_y
_atom_site_fract_z
La1 0.000 0.000 0.000
Sm1 0.750 0.750 0.750
Co1 0.375 0.375 0.375
Co2 0.375 0.375 0.874
Co3 0.375 0.874 0.375
Co4 0.874 0.375 0.375
# ΔH_f (0 K)	-5	kJ per mole of atoms
# energy relative to the lowest polymorph listed for this composition	33	meV/atom
# energy	-6.402	eV per atom


# PBE ZnCoMoRu, optimized geometry
data_ZnCoMoRu
_chemical_formula_sum 'Zn4 Co4 Mo4 Ru4'
_cell_length_a 6.017
_cell_length_b 6.017
_cell_length_c 6.017
_cell_angle_alpha 90.00
_cell_angle_beta 90.00
_cell_angle_gamma 90.00
_symmetry_space_group_name_H-M 'P 1'
_symmetry_Int_Tables_number 1
loop_
_symmetry_equiv_pos_as_xyz
'x,y,z'
loop_
_atom_site_label
_atom_site_fract_x
_atom_site_fract_y
_atom_site_fract_z
Zn1 0.000 0.000 0.000
Zn2 0.000 0.500 0.500
Zn3 0.500 0.000 0.500
Zn4 0.500 0.500 0.000
Co1 0.250 0.250 0.250
Co2 0.250 0.750 0.750
Co3 0.750 0.250 0.750
Co4 0.750 0.750 0.250
Mo1 0.000 0.000 0.500
Mo2 0.000 0.500 0.000
Mo3 0.500 0.000 0.000
Mo4 0.500 0.500 0.500
Ru1 0.250 0.250 0.750
Ru2 0.250 0.750 0.250
Ru3 0.750 0.250 0.250
Ru4 0.750 0.750 0.750
# ΔH_f (0 K)	3	kJ per mole of atoms
# energy	-7.092	eV per atom


# PBE BePtSe, optimized geometry
data_BePtSe
_chemical_formula_sum 'Be4 Pt4 Se4'
_cell_length_a 10.421
_cell_length_b 5.324
_cell_length_c 3.649
_cell_angle_alpha 90.00
_cell_angle_beta 104.66
_cell_angle_gamma 90.00
_symmetry_space_group_name_H-M 'P 1'
_symmetry_Int_Tables_number 1
loop_
_symmetry_equiv_pos_as_xyz
'x,y,z'
loop_
_atom_site_label
_atom_site_fract_x
_atom_site_fract_y
_atom_site_fract_z
Be1 0.190 0.000 0.327
Be2 0.310 0.500 0.673
Be3 0.690 0.500 0.327
Be4 0.810 0.000 0.673
Pt1 0.118 0.248 0.754
Pt2 0.382 0.748 0.246
Pt3 0.618 0.748 0.754
Pt4 0.882 0.248 0.246
Se1 0.137 0.742 0.795
Se2 0.363 0.242 0.205
Se3 0.637 0.242 0.795
Se4 0.863 0.742 0.205
# E_form (uncorrected)	-0.6	eV/f.u.
# energy	-4.613	eV per atom


# PBE CeTmTl, optimized geometry
data_CeTmTl
_chemical_formula_sum 'Ce4 Tm4 Tl4'
_cell_length_a 10.950
_cell_length_b 3.609
_cell_length_c 8.750
_cell_angle_alpha 90.00
_cell_angle_beta 110.16
_cell_angle_gamma 90.00
_symmetry_space_group_name_H-M 'P 1'
_symmetry_Int_Tables_number 1
loop_
_symmetry_equiv_pos_as_xyz
'x,y,z'
loop_
_atom_site_label
_atom_site_fract_x
_atom_site_fract_y
_atom_site_fract_z
Ce1 0.181 0.000 0.055
Ce2 0.319 0.500 0.945
Ce3 0.681 0.500 0.055
Ce4 0.819 0.000 0.945
Tm1 0.163 0.000 0.598
Tm2 0.337 0.500 0.402
Tm3 0.663 0.500 0.598
Tm4 0.837 0.000 0.402
Tl1 0.025 0.500 0.262
Tl2 0.475 0.000 0.738
Tl3 0.525 0.000 0.262
Tl4 0.975 0.500 0.738
# ΔH_f (0 K)	-17	kJ per mole of atoms
# energy relative to the lowest polymorph listed for this composition	23	meV/atom
# energy	-4.438	eV per atom


# PBE CdCoRh2, optimized geometry
data_CdCoRh2
_chemical_formula_sum 'Cd4 Co4 Rh8'
_cell_length_a 6.231
_cell_length_b 6.231
_cell_length_c 6.231
_cell_angle_alpha 90.00
_cell_angle_beta 90.00
_cell_angle_gamma 90.00
_symmetry_space_group_name_H-M 'P 1'
_symmetry_Int_Tables_number 1
loop_
_symmetry_equiv_pos_as_xyz
'x,y,z'
loop_
_atom_site_label
_atom_site_fract_x
_atom_site_fract_y
_atom_site_fract_z
Cd1 0.000 0.000 0.000
Cd2 0.000 0.500 0.500
Cd3 0.500 0.000 0.500
Cd4 0.500 0.500 0.000
Co1 0.250 0.250 0.250
Co2 0.250 0.750 0.750
Co3 0.750 0.250 0.750
Co4 0.750 0.750 0.250
Rh1 0.000 0.000 0.500
Rh2 0.000 0.500 0.000
Rh3 0.250 0.250 0.750
Rh4 0.250 0.750 0.250
Rh5 0.500 0.000 0.000
Rh6 0.500 0.500 0.500
Rh7 0.750 0.250 0.250
Rh8 0.750 0.750 0.750
# ΔH_f (0 K)	25	kJ per mole of atoms
# energy relative to the lowest polymorph listed for this composition	233	meV/atom
# energy	-5.420	eV per atom


# PBE CeURu2, optimized geometry
data_CeURu2
_chemical_formula_sum 'Ce4 U4 Ru8'
_cell_length_a 6.282
_cell_length_b 5.003
_cell_length_c 10.146
_cell_angle_alpha 90.00
_cell_angle_beta 90.00
_cell_angle_gamma 90.00
_symmetry_space_group_name_H-M 'P 1'
_symmetry_Int_Tables_number 1
loop_
_symmetry_equiv_pos_as_xyz
'x,y,z'
loop_
_atom_site_label
_atom_site_fract_x
_atom_site_fract_y
_atom_site_fract_z
Ce1 0.205 0.250 0.151
Ce2 0.295 0.750 0.651
Ce3 0.705 0.250 0.349
Ce4 0.795 0.750 0.849
U1 0.027 0.250 0.638
U2 0.473 0.750 0.138
U3 0.527 0.250 0.862
U4 0.973 0.750 0.362
Ru1 0.062 0.250 0.867
Ru2 0.209 0.250 0.436
Ru3 0.291 0.750 0.936
Ru4 0.438 0.750 0.367
Ru5 0.562 0.250 0.633
Ru6 0.709 0.250 0.064
Ru7 0.791 0.750 0.564
Ru8 0.938 0.750 0.133
# ΔH_f (0 K)	-34	kJ per mole of atoms
# energy	-9.300	eV per atom


# PBE Pm12Sm7Mg, optimized geometry
data_Pm12Sm7Mg
_chemical_formula_sum 'Pm12 Sm7 Mg1'
_cell_length_a 9.997
_cell_length_b 9.997
_cell_length_c 9.997
_cell_angle_alpha 109.47
_cell_angle_beta 109.47
_cell_angle_gamma 109.47
_symmetry_space_group_name_H-M 'P 1'
_symmetry_Int_Tables_number 1
loop_
_symmetry_equiv_pos_as_xyz
'x,y,z'
loop_
_atom_site_label
_atom_site_fract_x
_atom_site_fract_y
_atom_site_fract_z
Pm1 0.000 0.246 0.754
Pm2 0.000 0.754 0.246
Pm3 0.246 0.000 0.754
Pm4 0.246 0.246 0.491
Pm5 0.246 0.491 0.246
Pm6 0.246 0.754 0.000
Pm7 0.491 0.246 0.246
Pm8 0.509 0.754 0.754
Pm9 0.754 0.000 0.246
Pm10 0.754 0.246 0.000
Pm11 0.754 0.509 0.754
Pm12 0.754 0.754 0.509
Sm1 0.000 0.000 0.500
Sm2 0.000 0.500 0.000
Sm3 0.000 0.500 0.500
Sm4 0.500 0.000 0.000
Sm5 0.500 0.000 0.500
Sm6 0.500 0.500 0.000
Sm7 0.500 0.500 0.500
Mg1 0.000 0.000 0.000
# ΔH_f (0 K)	60	kJ per mole of atoms
# energy relative to the lowest polymorph listed for this composition	433	meV/atom
# energy	-3.955	eV per atom